Density functional theory data (SCAN) for a PBEsol-optimized structure of Sn2CI.

Size of the total moment, Bohr magnetons per cell: 0.00
Raw total energy, Ry per atom: -2.0533
Fermi-level density of states, states/eV/cell: 2.87
Raw formation energy, eV per atom: 1.73
Space-group type: Fm-3m

The structure in extended XYZ format:
```
4
Lattice="5.0408 0.0000 0.0000 2.5204 4.3654 0.0000 2.5204 1.4551 4.1158" Properties=species:S:1:pos:R:3 pbc="T T T"
I 5.0408 2.9103 2.0579
C 0.0000 0.0000 0.0000
Sn 2.5204 1.4551 1.0289
Sn 7.5612 4.3654 3.0868
```